# K2CoPdCl6 | OQMD | PBE | relaxed
# space-group type = Fm-3m
data_K2CoPdCl6
_chemical_formula_sum 'K2 Co1 Pd1 Cl6'
_cell_length_a 6.8959
_cell_length_b 6.8959
_cell_length_c 6.8959
_cell_angle_alpha 60.00
_cell_angle_beta 60.00
_cell_angle_gamma 60.00
_symmetry_space_group_name_H-M 'P 1'
_symmetry_Int_Tables_number 1
loop_
_symmetry_equiv_pos_as_xyz
'x,y,z'
loop_
_atom_site_label
_atom_site_type_symbol
_atom_site_fract_x
_atom_site_fract_y
_atom_site_fract_z
Pd1 Pd 0.5000 0.5000 0.5000
Cl1 Cl 0.7568 0.7568 0.2432
Cl2 Cl 0.2432 0.2432 0.7568
Cl3 Cl 0.2432 0.7568 0.2432
K1 K 0.7500 0.7500 0.7500
Cl4 Cl 0.7568 0.2432 0.7568
Cl5 Cl 0.2432 0.7568 0.7568
Co1 Co 0.0000 0.0000 0.0000
K2 K 0.2500 0.2500 0.2500
Cl6 Cl 0.7568 0.2432 0.2432


# Lu2ZrSn | OQMD | PBE | relaxed
# space-group type = F-43m
data_Lu2ZrSn
_chemical_formula_sum 'Lu2 Zr1 Sn1'
_cell_length_a 5.1584
_cell_length_b 5.1584
_cell_length_c 5.1584
_cell_angle_alpha 60.00
_cell_angle_beta 60.00
_cell_angle_gamma 60.00
_symmetry_space_group_name_H-M 'P 1'
_symmetry_Int_Tables_number 1
loop_
_symmetry_equiv_pos_as_xyz
'x,y,z'
loop_
_atom_site_label
_atom_site_type_symbol
_atom_site_fract_x
_atom_site_fract_y
_atom_site_fract_z
Sn1 Sn 0.5000 0.5000 0.5000
Lu1 Lu 0.0000 0.0000 0.0000
Zr1 Zr 0.2500 0.2500 0.2500
Lu2 Lu 0.7500 0.7500 0.7500


# Cu5Ag4 | OQMD | PBE | relaxed
# calculated formation energy = 9.2 kJ per mole of atoms
# distance to the lowest polymorph of the same formula = 55 meV per atom
# space-group type = P1
data_Cu5Ag4
_chemical_formula_sum 'Cu5 Ag4'
_cell_length_a 4.7327
_cell_length_b 4.8128
_cell_length_c 6.0369
_cell_angle_alpha 84.51
_cell_angle_beta 76.24
_cell_angle_gamma 80.48
_symmetry_space_group_name_H-M 'P 1'
_symmetry_Int_Tables_number 1
loop_
_symmetry_equiv_pos_as_xyz
'x,y,z'
loop_
_atom_site_label
_atom_site_type_symbol
_atom_site_fract_x
_atom_site_fract_y
_atom_site_fract_z
Cu1 Cu 0.1116 0.2208 0.5396
Ag1 Ag 0.7838 0.5563 0.9161
Ag2 Ag 0.8864 0.7711 0.4204
Cu2 Cu 0.4315 0.9071 0.2186
Ag3 Ag 0.3253 0.6700 0.6624
Ag4 Ag 0.5603 0.1174 0.7790
Cu3 Cu 0.6581 0.3178 0.3323
Cu4 Cu 0.2318 0.4273 0.1273
Cu5 Cu 0.0112 0.0122 0.0044


# TbDy2NiPd2Pb3 | OQMD | PBE | relaxed
# space-group type = Amm2
data_TbDy2NiPd2Pb3
_chemical_formula_sum 'Tb1 Dy2 Ni1 Pd2 Pb3'
_cell_length_a 3.8215
_cell_length_b 7.7946
_cell_length_c 7.7946
_cell_angle_alpha 120.06
_cell_angle_beta 90.00
_cell_angle_gamma 90.00
_symmetry_space_group_name_H-M 'P 1'
_symmetry_Int_Tables_number 1
loop_
_symmetry_equiv_pos_as_xyz
'x,y,z'
loop_
_atom_site_label
_atom_site_type_symbol
_atom_site_fract_x
_atom_site_fract_y
_atom_site_fract_z
Pb1 Pb 0.5000 0.9997 0.2565
Dy1 Dy 0.0000 0.0000 0.5996
Dy2 Dy 0.0000 0.5996 0.0000
Pd1 Pd 0.5000 0.6674 0.3331
Tb1 Tb 0.0000 0.4006 0.4006
Pd2 Pd 0.5000 0.3331 0.6674
Ni1 Ni 0.0000 0.9997 0.9997
Pb2 Pb 0.5000 0.2565 0.9997
Pb3 Pb 0.5000 0.7435 0.7435


# ZrSnMo | OQMD | PBE | relaxed
# space-group type = F-43m
data_ZrSnMo
_chemical_formula_sum 'Zr1 Sn1 Mo1'
_cell_length_a 4.6173
_cell_length_b 4.6173
_cell_length_c 4.6173
_cell_angle_alpha 60.00
_cell_angle_beta 60.00
_cell_angle_gamma 60.00
_symmetry_space_group_name_H-M 'P 1'
_symmetry_Int_Tables_number 1
loop_
_symmetry_equiv_pos_as_xyz
'x,y,z'
loop_
_atom_site_label
_atom_site_type_symbol
_atom_site_fract_x
_atom_site_fract_y
_atom_site_fract_z
Sn1 Sn 0.2500 0.2500 0.2500
Zr1 Zr 0.7500 0.7500 0.7500
Mo1 Mo 0.0000 0.0000 0.0000


# Y2Al2ZnHg | OQMD | PBE | relaxed
# space-group type = Cm
data_Y2Al2ZnHg
_chemical_formula_sum 'Y2 Al2 Zn1 Hg1'
_cell_length_a 5.8061
_cell_length_b 5.8061
_cell_length_c 7.2433
_cell_angle_alpha 128.33
_cell_angle_beta 128.33
_cell_angle_gamma 46.17
_symmetry_space_group_name_H-M 'P 1'
_symmetry_Int_Tables_number 1
loop_
_symmetry_equiv_pos_as_xyz
'x,y,z'
loop_
_atom_site_label
_atom_site_type_symbol
_atom_site_fract_x
_atom_site_fract_y
_atom_site_fract_z
Hg1 Hg 0.8775 0.8775 0.6037
Al1 Al 0.2141 0.2141 0.0036
Al2 Al 0.1975 0.1975 0.4076
Y1 Y 0.5648 0.5648 0.5659
Zn1 Zn 0.8739 0.8739 0.1460
Y2 Y 0.5164 0.5164 0.0173


Quick rundown of total energy, same order as above: -3.599, -5.558, -3.225, -5.197, -7.400, -4.139 eV per atom